# Pa3S5 (PBE-GGA, relaxed)
data_Pa3S5
_cell_length_a 7.8260
_cell_length_b 7.8260
_cell_length_c 6.2424
_cell_angle_alpha 90.00
_cell_angle_beta 90.00
_cell_angle_gamma 120.00
_symmetry_space_group_name_H-M 'P 63/m c m'
_symmetry_Int_Tables_number 193
_symmetry_space_group_name_Hall '-P 6c 2'
loop_
_atom_site_label
_atom_site_type_symbol
_atom_site_fract_x
_atom_site_fract_y
_atom_site_fract_z
Pa1 Pa 0.0000 0.3933 0.2500
S1 S 0.0000 0.2497 0.7500
S2 S 0.3333 0.6667 0.0000
# Fermi-level density of states ... 1.33 states/eV/atom
# Uncorrected formation energy ... -1.57 eV per atom


# Pm2YCd (PBE-GGA, relaxed)
data_Pm2YCd
_cell_length_a 3.5243
_cell_length_b 3.5243
_cell_length_c 37.1246
_cell_angle_alpha 90.00
_cell_angle_beta 90.00
_cell_angle_gamma 120.00
_symmetry_space_group_name_H-M 'R -3 m'
_symmetry_Int_Tables_number 166
_symmetry_space_group_name_Hall '-R 3 2"'
loop_
_atom_site_label
_atom_site_type_symbol
_atom_site_fract_x
_atom_site_fract_y
_atom_site_fract_z
Pm1 Pm 0.0000 0.0000 0.0888
Y1 Y 0.0000 0.0000 0.5000
Cd1 Cd 0.0000 0.0000 0.0000
# Formation energy from the elements ... 0.60 eV/f.u.
# Fermi-level density of states ... 0.96 states/eV/atom